# FeP3, optimized geometry, DFT PBE
# VASP energy (eV per atom): -5.8923
# Energy above the lowest structure with this stoichiometry (meV/atom): 356
# ΔH_f (0 K) (meV/atom): 280.8
data_FeP3
_cell_length_a 9.5660
_cell_length_b 9.5660
_cell_length_c 9.5660
_cell_angle_alpha 159.14
_cell_angle_beta 159.14
_cell_angle_gamma 29.66
_space_group_name_H-M_alt 'P 1'
_space_group_IT_number 1
loop_
_space_group_symop_operation_xyz
'x,y,z'
loop_
_atom_site_label
_atom_site_type_symbol
_atom_site_fract_x
_atom_site_fract_y
_atom_site_fract_z
Fe1 Fe 0.6766 0.6766 0.0000
P1 P 0.2500 0.7500 0.5000
P2 P 0.0000 0.5000 0.5000
P3 P 0.1053 0.1053 0.0000
P4 P 0.5000 0.0000 0.5000
Fe2 Fe 0.3234 0.3234 0.0000
P5 P 0.8947 0.8947 0.0000
P6 P 0.7500 0.2500 0.5000

# FeP5, optimized geometry, DFT PBE
# VASP energy (eV per atom): -5.9451
# Energy above the lowest structure with this stoichiometry (meV/atom): 0
# ΔH_f (0 K) (meV/atom): -26.5
data_FeP5
_cell_length_a 6.3762
_cell_length_b 6.3762
_cell_length_c 4.2705
_cell_angle_alpha 90.00
_cell_angle_beta 90.00
_cell_angle_gamma 147.96
_space_group_name_H-M_alt 'P 1'
_space_group_IT_number 1
loop_
_space_group_symop_operation_xyz
'x,y,z'
loop_
_atom_site_label
_atom_site_type_symbol
_atom_site_fract_x
_atom_site_fract_y
_atom_site_fract_z
P1 P 0.8835 0.1165 0.0000
P2 P 0.8084 0.1916 0.5000
P3 P 0.1165 0.8835 0.0000
P4 P 0.1916 0.8084 0.5000
P5 P 0.5000 0.5000 0.5000
Fe1 Fe 0.5000 0.5000 0.0000

# FeP3, optimized geometry, DFT PBE
# VASP energy (eV per atom): -5.6915
# Energy above the lowest structure with this stoichiometry (meV/atom): 557
# ΔH_f (0 K) (meV/atom): 481.6
data_FeP3
_cell_length_a 4.1616
_cell_length_b 4.1616
_cell_length_c 4.1616
_cell_angle_alpha 60.00
_cell_angle_beta 60.00
_cell_angle_gamma 60.00
_space_group_name_H-M_alt 'P 1'
_space_group_IT_number 1
loop_
_space_group_symop_operation_xyz
'x,y,z'
loop_
_atom_site_label
_atom_site_type_symbol
_atom_site_fract_x
_atom_site_fract_y
_atom_site_fract_z
P1 P 0.5000 0.5000 0.5000
Fe1 Fe 0.0000 0.0000 0.0000
P2 P 0.2500 0.2500 0.2500
P3 P 0.7500 0.7500 0.7500

# FeP, optimized geometry, DFT PBE
# VASP energy (eV per atom): -7.3252
# ΔH_f (0 K) (meV/atom): -388.9
data_FeP
_cell_length_a 3.2703
_cell_length_b 3.2703
_cell_length_c 2.5571
_cell_angle_alpha 90.00
_cell_angle_beta 90.00
_cell_angle_gamma 120.00
_space_group_name_H-M_alt 'P 1'
_space_group_IT_number 1
loop_
_space_group_symop_operation_xyz
'x,y,z'
loop_
_atom_site_label
_atom_site_type_symbol
_atom_site_fract_x
_atom_site_fract_y
_atom_site_fract_z
Fe1 Fe 0.0000 0.0000 0.0000
P1 P 0.6667 0.3333 0.5000

# FeP3, optimized geometry, DFT PBE
# VASP energy (eV per atom): -6.0113
# Energy above the lowest structure with this stoichiometry (meV/atom): 237
# ΔH_f (0 K) (meV/atom): 161.8
data_FeP3
_cell_length_a 5.9190
_cell_length_b 5.9190
_cell_length_c 5.9190
_cell_angle_alpha 149.02
_cell_angle_beta 146.36
_cell_angle_gamma 46.38
_space_group_name_H-M_alt 'P 1'
_space_group_IT_number 1
loop_
_space_group_symop_operation_xyz
'x,y,z'
loop_
_atom_site_label
_atom_site_type_symbol
_atom_site_fract_x
_atom_site_fract_y
_atom_site_fract_z
Fe1 Fe 0.5000 0.0000 0.5000
P1 P 0.0000 0.5000 0.5000
P2 P 0.1547 0.1547 0.0000
P3 P 0.8453 0.8453 0.0000

# FeP, optimized geometry, DFT PBE
# VASP energy (eV per atom): -7.0796
# ΔH_f (0 K) (meV/atom): -143.4
data_FeP
_cell_length_a 6.7138
_cell_length_b 6.7138
_cell_length_c 6.7138
_cell_angle_alpha 90.00
_cell_angle_beta 90.00
_cell_angle_gamma 90.00
_space_group_name_H-M_alt 'P 1'
_space_group_IT_number 1
loop_
_space_group_symop_operation_xyz
'x,y,z'
loop_
_atom_site_label
_atom_site_type_symbol
_atom_site_fract_x
_atom_site_fract_y
_atom_site_fract_z
Fe1 Fe 0.1338 0.1338 0.8662
P1 P 0.8176 0.8176 0.1824
P2 P 0.3176 0.3176 0.6824
P3 P 0.1824 0.8176 0.8176
Fe2 Fe 0.1338 0.8662 0.1338
Fe3 Fe 0.8662 0.8662 0.8662
P4 P 0.1824 0.1824 0.1824
Fe4 Fe 0.6338 0.3662 0.6338
Fe5 Fe 0.3662 0.6338 0.6338
P5 P 0.6824 0.6824 0.6824
Fe6 Fe 0.6338 0.6338 0.3662
P6 P 0.8176 0.1824 0.8176
Fe7 Fe 0.3662 0.3662 0.3662
P7 P 0.6824 0.3176 0.3176
P8 P 0.3176 0.6824 0.3176
Fe8 Fe 0.8662 0.1338 0.1338

# FeP4, optimized geometry, DFT PBE
# VASP energy (eV per atom): -5.5559
# ΔH_f (0 K) (meV/atom): 464.6
data_FeP4
_cell_length_a 4.7770
_cell_length_b 4.7770
_cell_length_c 4.7770
_cell_angle_alpha 122.49
_cell_angle_beta 122.49
_cell_angle_gamma 85.73
_space_group_name_H-M_alt 'P 1'
_space_group_IT_number 1
loop_
_space_group_symop_operation_xyz
'x,y,z'
loop_
_atom_site_label
_atom_site_type_symbol
_atom_site_fract_x
_atom_site_fract_y
_atom_site_fract_z
Fe1 Fe 0.0000 0.0000 0.0000
P1 P 0.7500 0.2500 0.5000
P2 P 0.2500 0.7500 0.5000
P3 P 0.3286 0.3286 0.0000
P4 P 0.6714 0.6714 0.0000

# FeP5, optimized geometry, DFT PBE
# VASP energy (eV per atom): -5.3951
# Energy above the lowest structure with this stoichiometry (meV/atom): 550
# ΔH_f (0 K) (meV/atom): 523.6
data_FeP5
_cell_length_a 4.6711
_cell_length_b 4.6711
_cell_length_c 4.5347
_cell_angle_alpha 90.00
_cell_angle_beta 90.00
_cell_angle_gamma 120.00
_space_group_name_H-M_alt 'P 1'
_space_group_IT_number 1
loop_
_space_group_symop_operation_xyz
'x,y,z'
loop_
_atom_site_label
_atom_site_type_symbol
_atom_site_fract_x
_atom_site_fract_y
_atom_site_fract_z
P1 P 0.3333 0.6667 0.5000
P2 P 0.2784 0.2784 0.0000
P3 P 0.0000 0.7216 0.0000
P4 P 0.6667 0.3333 0.5000
P5 P 0.7216 0.0000 0.0000
Fe1 Fe 0.0000 0.0000 0.5000

# Fe3P5, optimized geometry, DFT PBE
# VASP energy (eV per atom): -6.4259
# Energy above the lowest structure with this stoichiometry (meV/atom): 218
# ΔH_f (0 K) (meV/atom): 128.8
data_Fe3P5
_cell_length_a 5.3745
_cell_length_b 5.3745
_cell_length_c 3.9766
_cell_angle_alpha 90.00
_cell_angle_beta 90.00
_cell_angle_gamma 122.93
_space_group_name_H-M_alt 'P 1'
_space_group_IT_number 1
loop_
_space_group_symop_operation_xyz
'x,y,z'
loop_
_atom_site_label
_atom_site_type_symbol
_atom_site_fract_x
_atom_site_fract_y
_atom_site_fract_z
P1 P 0.0000 0.0000 0.0000
Fe1 Fe 0.3049 0.6951 0.5000
Fe2 Fe 0.5000 0.5000 0.0000
P2 P 0.2626 0.2626 0.5000
P3 P 0.7374 0.7374 0.5000
Fe3 Fe 0.6951 0.3049 0.5000
P4 P 0.0000 0.5000 0.0000
P5 P 0.5000 0.0000 0.0000

# FeP3, optimized geometry, DFT PBE
# VASP energy (eV per atom): -6.1393
# Energy above the lowest structure with this stoichiometry (meV/atom): 109
# ΔH_f (0 K) (meV/atom): 33.8
data_FeP3
_cell_length_a 6.5970
_cell_length_b 6.5970
_cell_length_c 3.5982
_cell_angle_alpha 90.00
_cell_angle_beta 90.00
_cell_angle_gamma 107.40
_space_group_name_H-M_alt 'P 1'
_space_group_IT_number 1
loop_
_space_group_symop_operation_xyz
'x,y,z'
loop_
_atom_site_label
_atom_site_type_symbol
_atom_site_fract_x
_atom_site_fract_y
_atom_site_fract_z
P1 P 0.2144 0.4028 0.7500
P2 P 0.7457 0.2543 0.2500
Fe1 Fe 0.5786 0.4214 0.7500
P3 P 0.7856 0.5972 0.2500
P4 P 0.5972 0.7856 0.7500
P5 P 0.2543 0.7457 0.7500
Fe2 Fe 0.4214 0.5786 0.2500
P6 P 0.4028 0.2144 0.2500

# FeP4, optimized geometry, DFT PBE
# VASP energy (eV per atom): -6.3766
# ΔH_f (0 K) (meV/atom): -356.2
data_FeP4
_cell_length_a 5.6958
_cell_length_b 5.6958
_cell_length_c 5.5338
_cell_angle_alpha 90.00
_cell_angle_beta 90.00
_cell_angle_gamma 127.85
_space_group_name_H-M_alt 'P 1'
_space_group_IT_number 1
loop_
_space_group_symop_operation_xyz
'x,y,z'
loop_
_atom_site_label
_atom_site_type_symbol
_atom_site_fract_x
_atom_site_fract_y
_atom_site_fract_z
P1 P 0.9967 0.3633 0.6324
P2 P 0.6367 0.0033 0.8676
P3 P 0.3633 0.9967 0.3676
P4 P 0.3063 0.2697 0.8017
P5 P 0.0033 0.6367 0.1324
Fe1 Fe 0.1741 0.8259 0.7500
P6 P 0.6937 0.7303 0.3017
Fe2 Fe 0.8259 0.1741 0.2500
P7 P 0.7303 0.6937 0.6983
P8 P 0.2697 0.3063 0.1983

# FeP, optimized geometry, DFT PBE
# VASP energy (eV per atom): -7.2584
# ΔH_f (0 K) (meV/atom): -322.2
data_FeP
_cell_length_a 3.4657
_cell_length_b 7.9924
_cell_length_c 5.2466
_cell_angle_alpha 90.00
_cell_angle_beta 90.00
_cell_angle_gamma 90.00
_space_group_name_H-M_alt 'P 1'
_space_group_IT_number 1
loop_
_space_group_symop_operation_xyz
'x,y,z'
loop_
_atom_site_label
_atom_site_type_symbol
_atom_site_fract_x
_atom_site_fract_y
_atom_site_fract_z
Fe1 Fe 0.0000 0.7562 0.4674
P1 P 0.5000 0.1624 0.7439
Fe2 Fe 0.0000 0.7438 0.9674
Fe3 Fe 0.0000 0.2562 0.9674
P2 P 0.0000 0.5000 0.6621
P3 P 0.5000 0.6624 0.2439
Fe4 Fe 0.5000 0.5000 0.9173
P4 P 0.5000 0.3376 0.2439
Fe5 Fe 0.0000 0.2438 0.4674
P5 P 0.5000 0.8376 0.7439
P6 P 0.0000 0.0000 0.1621
Fe6 Fe 0.5000 0.0000 0.4173

Q: Which of these has the highest VASP energy?
A: number 8

Please write out number 12 again, unchanged.
# FeP, optimized geometry, DFT PBE
# VASP energy (eV per atom): -7.2584
# ΔH_f (0 K) (meV/atom): -322.2
data_FeP
_cell_length_a 3.4657
_cell_length_b 7.9924
_cell_length_c 5.2466
_cell_angle_alpha 90.00
_cell_angle_beta 90.00
_cell_angle_gamma 90.00
_space_group_name_H-M_alt 'P 1'
_space_group_IT_number 1
loop_
_space_group_symop_operation_xyz
'x,y,z'
loop_
_atom_site_label
_atom_site_type_symbol
_atom_site_fract_x
_atom_site_fract_y
_atom_site_fract_z
Fe1 Fe 0.0000 0.7562 0.4674
P1 P 0.5000 0.1624 0.7439
Fe2 Fe 0.0000 0.7438 0.9674
Fe3 Fe 0.0000 0.2562 0.9674
P2 P 0.0000 0.5000 0.6621
P3 P 0.5000 0.6624 0.2439
Fe4 Fe 0.5000 0.5000 0.9173
P4 P 0.5000 0.3376 0.2439
Fe5 Fe 0.0000 0.2438 0.4674
P5 P 0.5000 0.8376 0.7439
P6 P 0.0000 0.0000 0.1621
Fe6 Fe 0.5000 0.0000 0.4173

Q: Among the records above, which one has the highest VASP energy?
A: number 8